A plane-wave DFT calculation with PBE+U was carried out for an optimized crystal structure of KPrMnWO6.

abc: 5.7435 5.7435 5.7435
angles: 60.00 60.00 60.00
Element x y z (fractional)
W 0.5000 0.5000 0.5000
O 0.2611 0.7389 0.2611
O 0.2611 0.2611 0.7389
O 0.7389 0.2611 0.2611
O 0.2611 0.7389 0.7389
O 0.7389 0.7389 0.2611
O 0.7389 0.2611 0.7389
Mn 0.0000 0.0000 0.0000
K 0.7500 0.7500 0.7500
Pr 0.2500 0.2500 0.2500

Output
SG = F-43m
Total DFT energy (no corrections) = -72.61 eV per cell
Magnetic moment = 5.00 μB/f.u.